The following is a PBE-GGA calculation of a geometry-optimized Cs2CdAs2 structure, from Alexandria via LeMat-Bulk.

Calculated values
The value obtained for the energy relative to the elements is -0.110 eV per atom. The value obtained for the magnetization is 0.0 Bohr magnetons per cell. The crystal system is tetragonal.

Lattice parameters (Å, degrees): 6.7401 6.7401 6.7401 116.66 116.66 95.89
Atoms (fractional coordinates):
Cs  0.2500  0.7500  0.5000
Cs  0.7500  0.2500  0.5000
Cd  0.0000  0.0000  0.0000
As  0.3719  0.3719  0.0000
As  0.6281  0.6281  0.0000


The following is a PBE-GGA calculation of a geometry-optimized Dy3AlP2Rh9 structure, from Alexandria via LeMat-Bulk.

Calculated values
The value obtained for the energy relative to the elements is -0.654 eV per atom. The value obtained for the magnetization is 0.0 Bohr magnetons per cell. The crystal system is trigonal.

Lattice parameters (Å, degrees): 6.2184 6.2184 7.9641 90.00 90.00 120.00
Atoms (fractional coordinates):
Dy  0.0000  0.0000  0.0000
Dy  0.3333  0.6667  0.6539
Dy  0.6667  0.3333  0.3461
Al  0.0000  0.0000  0.5000
P  0.3333  0.6667  0.1632
P  0.6667  0.3333  0.8368
Rh  0.0000  0.5000  0.0000
Rh  0.1675  0.3350  0.3196
Rh  0.1675  0.8325  0.3196
Rh  0.3350  0.1675  0.6804
Rh  0.5000  0.0000  0.0000
Rh  0.5000  0.5000  0.0000
Rh  0.6650  0.8325  0.3196
Rh  0.8325  0.1675  0.6804
Rh  0.8325  0.6650  0.6804


The following is a PBE-GGA calculation of a geometry-optimized CaMgFe2 structure, from Alexandria via LeMat-Bulk.

Calculated values
The value obtained for the energy relative to the elements is 0.351 eV per atom. The value obtained for the magnetization is 4.7 Bohr magnetons per cell. The crystal system is monoclinic.

Lattice parameters (Å, degrees): 5.5562 5.5562 4.9642 112.00 112.00 32.23
Atoms (fractional coordinates):
Ca  0.0000  0.0000  0.0000
Mg  0.7953  0.7953  0.3264
Fe  0.2234  0.2234  0.7457
Fe  0.5518  0.5518  0.5419


The following is a PBE-GGA calculation of a geometry-optimized Dy2TmZn structure, from Alexandria via LeMat-Bulk.

Calculated values
As for the energy relative to the lowest polymorph listed for this composition: 102 meV/atom. The value obtained for the energy relative to the elements is -0.055 eV per atom. The value obtained for the magnetization is 0.7 Bohr magnetons per cell. The crystal system is trigonal.

Lattice parameters (Å, degrees): 10.3623 10.3623 10.3623 19.91 19.91 19.91
Atoms (fractional coordinates):
Dy  0.0000  0.0000  0.0000
Dy  0.1870  0.1870  0.1870
Tm  0.7601  0.7601  0.7601
Zn  0.5940  0.5940  0.5940


The following is a PBE-GGA calculation of a geometry-optimized CeEuCdPd structure, from Alexandria via LeMat-Bulk.

Calculated values
The value obtained for the energy relative to the elements is -0.366 eV per atom. The value obtained for the magnetization is 7.9 Bohr magnetons per cell. The crystal system is cubic.

Lattice parameters (Å, degrees): 5.2813 5.2813 5.2813 60.00 60.00 60.00
Atoms (fractional coordinates):
Ce  0.0000  0.0000  0.0000
Eu  0.5000  0.5000  0.5000
Cd  0.7500  0.7500  0.7500
Pd  0.2500  0.2500  0.2500


The following is a PBE-GGA calculation of a geometry-optimized Li2HoZn2Si2 structure, from Alexandria via LeMat-Bulk.

Calculated values
The value obtained for the magnetization is 0.0 Bohr magnetons per cell. The crystal system is trigonal. The calculation puts the uncorrected formation energy at -0.442 eV per atom.

Lattice parameters (Å, degrees): 8.1937 8.1937 8.1937 29.34 29.34 29.34
Atoms (fractional coordinates):
Li  0.1419  0.1419  0.1419
Li  0.8581  0.8581  0.8581
Ho  0.0000  0.0000  0.0000
Zn  0.4257  0.4257  0.4257
Zn  0.5743  0.5743  0.5743
Si  0.2564  0.2564  0.2564
Si  0.7436  0.7436  0.7436


Which E belongs to each record? In order, -2.494 -6.956 -4.780 -3.793 -5.945 -3.556 eV per atom.